# Sm4Ho3Er

A relaxed Sm4Ho3Er crystal (PBE-GGA, Alexandria).

Structure (CIF):
```
data_Sm4Ho3Er
_cell_length_a 11.414
_cell_length_b 7.289
_cell_length_c 6.290
_cell_angle_alpha 90.00
_cell_angle_beta 90.00
_cell_angle_gamma 90.00
_space_group_name_H-M_alt 'P m n 21'
_space_group_IT_number 31
loop_
_space_group_symop_operation_xyz
'x,y,z'
'-x+1/2,-y,z+1/2'
'-x,y,z'
'x+1/2,-y,z+1/2'
loop_
_atom_site_label
_atom_site_type_symbol
_atom_site_fract_x
_atom_site_fract_y
_atom_site_fract_z
Sm1 Sm 0.000 0.127 0.000
Sm2 Sm 0.000 0.873 0.499
Sm3 Sm 0.250 0.127 0.334
Ho1 Ho 0.000 0.378 0.500
Ho2 Ho 0.250 0.378 0.833
Er1 Er 0.000 0.622 0.000
```

Summary:
For the calculated formation energy, the calculation gives 0.02 eV per atom.


# Ca4Sb2O

A relaxed Ca4Sb2O crystal (PBE-GGA, Alexandria).

Structure (CIF):
```
data_Ca4Sb2O
_cell_length_a 6.616
_cell_length_b 6.937
_cell_length_c 9.267
_cell_angle_alpha 90.00
_cell_angle_beta 110.59
_cell_angle_gamma 90.00
_space_group_name_H-M_alt 'P 1 21/m 1'
_space_group_IT_number 11
loop_
_space_group_symop_operation_xyz
'x,y,z'
'-x,-y,-z'
'-x,y+1/2,-z'
'x,-y+1/2,z'
loop_
_atom_site_label
_atom_site_type_symbol
_atom_site_fract_x
_atom_site_fract_y
_atom_site_fract_z
Ca1 Ca 0.006 0.010 0.269
Ca2 Ca 0.369 0.750 0.046
Ca3 Ca 0.433 0.750 0.657
Sb1 Sb 0.190 0.250 0.030
Sb2 Sb 0.307 0.250 0.583
O1 O 0.218 0.750 0.789
```


# Pm3NdIn3

A relaxed Pm3NdIn3 crystal (PBE-GGA, Alexandria).

Structure (CIF):
```
data_Pm3NdIn3
_cell_length_a 9.557
_cell_length_b 9.557
_cell_length_c 9.557
_cell_angle_alpha 90.00
_cell_angle_beta 90.00
_cell_angle_gamma 90.00
_space_group_name_H-M_alt 'P 21 3'
_space_group_IT_number 198
_space_group_name_Hall 'P 2ac 2ab 3'
loop_
_atom_site_label
_atom_site_type_symbol
_atom_site_fract_x
_atom_site_fract_y
_atom_site_fract_z
Pm1 Pm 0.076 0.424 0.576
Pm2 Pm 0.176 0.176 0.176
Pm3 Pm 0.176 0.824 0.324
Nd1 Nd 0.074 0.574 0.926
In1 In 0.001 0.748 0.623
```

Summary:
For the calculated formation energy, the calculation gives -0.34 eV per atom.


# Sb3RhI

A relaxed Sb3RhI crystal (PBE-GGA, Alexandria).

Structure (CIF):
```
data_Sb3RhI
_cell_length_a 5.248
_cell_length_b 5.248
_cell_length_c 5.248
_cell_angle_alpha 90.00
_cell_angle_beta 90.00
_cell_angle_gamma 90.00
_space_group_name_H-M_alt 'P m -3 m'
_space_group_IT_number 221
_space_group_name_Hall '-P 4 2 3'
loop_
_atom_site_label
_atom_site_type_symbol
_atom_site_fract_x
_atom_site_fract_y
_atom_site_fract_z
Sb1 Sb 0.000 0.000 0.500
Rh1 Rh 0.000 0.000 0.000
I1 I 0.500 0.500 0.500
```


What did we get for energy? Answer: -74.0; -64.0; -118.5; -19.8 eV/cell, in the order shown.
What did we get for M_tot? Answer: 0.0; 0.0; 0.0; 0.0 Bohr magnetons per cell, in the order shown.
What did we get for polymorph energy (0 for the lowest one)? Answer: 0; 89; 0; 0 meV per atom, in the order shown.